## BaVAs2O8 (GGA+U)

Data for a relaxed BaVAs2O8 crystal.

a = 7.8391 Å, b = 14.9424 Å, c = 6.8378 Å
α = 90.00°, β = 114.67°, γ = 90.00°
With the nearest neighbours (Å) after each atom.
Fractional positions:
1 Ba 0.1624 0.1257 0.2055  5 O 2.69-2.96
2 Ba 0.1624 0.3743 0.7055  5 O 2.69-2.96
3 Ba 0.8376 0.6257 0.2945  5 O 2.69-2.96
4 Ba 0.8376 0.8743 0.7945  5 O 2.69-2.96
5 V 0.4869 0.6505 0.7046  1 O 1.65
6 V 0.4869 0.8495 0.2046  1 O 1.65
7 V 0.5131 0.1505 0.7954  1 O 1.65
8 V 0.5131 0.3495 0.2954  1 O 1.65
9 As 0.1804 0.6816 0.9051  4 O 1.67-1.81
10 As 0.1804 0.8184 0.4051  4 O 1.67-1.81
11 As 0.2821 0.5347 0.2816  4 O 1.69-1.80
12 As 0.2821 0.9653 0.7816  4 O 1.69-1.80
13 As 0.7179 0.0347 0.2184  4 O 1.69-1.80
14 As 0.7179 0.4653 0.7184  4 O 1.69-1.80
15 As 0.8196 0.1816 0.5949  4 O 1.67-1.81
16 As 0.8196 0.3184 0.0949  4 O 1.67-1.81
17 O 0.0283 0.1976 0.8016  1 As 1.67
18 O 0.0283 0.3024 0.3016  1 As 1.67
19 O 0.1230 0.6092 0.0814  2 As 1.80-1.81
20 O 0.1230 0.8908 0.5814  2 As 1.80-1.81
21 O 0.1516 0.5110 0.4186  1 As 1.69
22 O 0.1516 0.9890 0.9186  1 As 1.69
23 O 0.2524 0.7176 0.5325  1 As 1.71
24 O 0.2524 0.7824 0.0325  1 As 1.71
25 O 0.3399 0.0464 0.6421  1 As 1.72
26 O 0.3399 0.4536 0.1421  1 As 1.72
27 O 0.3606 0.2312 0.6814  1 V 1.65
28 O 0.3606 0.2688 0.1814  1 V 1.65
29 O 0.3656 0.6213 0.8948  1 As 1.73
30 O 0.3656 0.8787 0.3948  1 As 1.73
31 O 0.4815 0.5957 0.4341  1 As 1.73
32 O 0.4815 0.9043 0.9341  1 As 1.73
33 O 0.5185 0.0957 0.0659  1 As 1.73
34 O 0.5185 0.4043 0.5659  1 As 1.73
35 O 0.6344 0.1213 0.6052  1 As 1.73
36 O 0.6344 0.3787 0.1052  1 As 1.73
37 O 0.6394 0.7312 0.8186  1 V 1.65
38 O 0.6394 0.7688 0.3186  1 V 1.65
39 O 0.6601 0.5464 0.8579  1 As 1.72
40 O 0.6601 0.9536 0.3579  1 As 1.72
41 O 0.7476 0.2176 0.9675  1 As 1.71
42 O 0.7476 0.2824 0.4675  1 As 1.71
43 O 0.8484 0.0110 0.0814  1 As 1.69
44 O 0.8484 0.4890 0.5814  1 As 1.69
45 O 0.8770 0.1092 0.4186  2 As 1.80-1.81
46 O 0.8770 0.3908 0.9186  2 As 1.80-1.81
47 O 0.9717 0.6976 0.6984  1 As 1.67
48 O 0.9717 0.8024 0.1984  1 As 1.67

Properties
DOS at the Fermi energy, states/eV/f.u.: 0.0
Raw total energy, eV/cell: -318.79
SG: P2_1/c (14)